Here is a crystal of SmTe2 relaxed with PBEsol from the Alexandria database. Energies are from meta-GGA SCAN.

```
SmTe2
1.0
4.413 0.000 0.000
0.000 4.413 0.000
0.000 0.000 8.894
Te Sm
4 2
Direct
0.000 0.000 0.000 Te
0.500 0.500 0.000 Te
0.000 0.500 0.370 Te
0.500 0.000 0.630 Te
0.000 0.500 0.730 Sm
0.500 0.000 0.270 Sm
```

* N(E_F): 0.39 states/eV/f.u.
* space group: P4/nmm
* formation energy without anion corrections: -1371 meV per atom
* electronic total energy: -1.507 hartree per atom